# 1
Computed, not measured: CaHgGe after structural relaxation at the GGA-PBE level of DFT.

Lattice parameters (Å, degrees): 5.974 6.943 4.666 109.55 67.01 76.02
Positions (direct):
Ge 0.618 0.683 0.792
Ge 0.745 0.026 0.902
Hg 0.895 0.507 0.065
Hg 0.467 0.203 0.628
Ca 0.083 0.121 0.279
Ca 0.280 0.589 0.414

Output
Calculated total energy (eV per atom): -2.685
DOS at the Fermi energy (states/eV per cell): 2.3
Calculated formation energy (eV per formula unit): -1.13
Symmetry: P-1
Spin magnetization (μB per formula unit): 0.0
Calculated volume (Å³ per cell): 151.6

# 2
Computed, not measured: CaHgGe2 after structural relaxation at the GGA-PBE level of DFT.

Lattice parameters (Å, degrees): 4.612 4.612 10.194 76.93 76.93 90.00
Positions (direct):
Ge 0.375 0.297 0.750
Ge 0.703 0.125 0.250
Ge 0.047 0.625 0.250
Ge 0.875 0.953 0.750
Hg 0.000 0.000 0.000
Hg 0.750 0.250 0.500
Ca 0.250 0.750 0.500
Ca 0.500 0.500 0.000

Output
Calculated total energy (eV per atom): -2.967
DOS at the Fermi energy (states/eV per cell): 4.2
Calculated formation energy (eV per formula unit): -0.33
Symmetry: I-42d
Spin magnetization (μB per formula unit): 0.0
Calculated volume (Å³ per cell): 205.4